VASP calculation (GGA+U) on an optimized crystal structure of PmErWO6.

```
18
Lattice="5.5404 0.0000 0.0000 -2.7702 4.7982 0.0000 0.0000 0.0000 9.8013" Properties=species:S:1:pos:R:3 pbc="T T T"
Pm 0.0000 0.0000 0.0000
Pm 0.0000 0.0000 4.9006
Er 0.0000 3.1988 2.4503
Er 2.7702 1.5994 7.3509
W 0.0000 3.1988 7.3509
W 2.7702 1.5994 2.4503
O -0.8272 1.7963 6.2589
O -1.6282 3.1836 8.4429
O 0.8272 1.7963 8.4429
O -0.8010 4.6164 6.2589
O 1.9692 0.1817 1.3583
O 1.1420 1.6145 3.5423
O 1.6282 3.1836 6.2589
O 0.8010 4.6164 8.4429
O 3.5712 0.1817 3.5423
O 1.9430 3.0019 1.3583
O 4.3984 1.6145 1.3583
O 3.5974 3.0019 3.5423
```

## Properties
spin magnetization	0.0000	μB per atom
SG	P-31c, No. 163
VASP energy	-144.90	eV/cell